Density functional theory data (PBE-GGA) for crystalline SrBeIrRh2 at its relaxed geometry.

## Properties
Space group: No. 123

abc: 4.860 4.860 5.016
angles: 90.00 90.00 90.00
Sites, in units of the cell vectors:
1 Sr 0.000 0.000 0.000
2 Be 0.500 0.500 0.500
3 Ir 0.000 0.000 0.500
4 Rh 0.000 0.500 0.000
5 Rh 0.500 0.000 0.000

***

Density functional theory data (PBE-GGA) for crystalline TaBeIrRh at its relaxed geometry.

## Properties
Space group: No. 216

abc: 4.315 4.315 4.315
angles: 60.00 60.00 60.00
Sites, in units of the cell vectors:
1 Ta 0.000 0.000 0.000
2 Be 0.500 0.500 0.500
3 Ir 0.750 0.750 0.750
4 Rh 0.250 0.250 0.250

***

Number 1: energy of formation from the pure elements 2.394 eV/atom, uncorrected energy -17.0 eV/f.u.. Number 2: energy of formation from the pure elements -0.514 eV/atom, uncorrected energy -33.8 eV/f.u..